# AcPm8Y5, optimized geometry, DFT PBE
data_AcPm8Y5
_chemical_formula_sum 'Ac2 Pm16 Y10'
_cell_length_a 9.733
_cell_length_b 9.733
_cell_length_c 10.537
_cell_angle_alpha 90.00
_cell_angle_beta 90.00
_cell_angle_gamma 90.00
_space_group_name_H-M_alt 'I -4'
_space_group_IT_number 82
_space_group_name_Hall 'I -4'
loop_
_atom_site_label
_atom_site_type_symbol
_atom_site_fract_x
_atom_site_fract_y
_atom_site_fract_z
Ac1 Ac 0.000 0.000 0.000
Pm1 Pm 0.071 0.174 0.356
Pm2 Pm 0.095 0.334 0.999
Y1 Y 0.000 0.500 0.250
Y2 Y 0.119 0.295 0.679
# crystal system = tetragonal
# E_form = 0.2462 eV per atom
# theoretical density = 6.09 g/cm3
# total DFT energy (no corrections) = -5.071 eV per atom

# La2Ni, optimized geometry, DFT PBE
data_La2Ni
_chemical_formula_sum 'La2 Ni1'
_cell_length_a 5.0926
_cell_length_b 5.0926
_cell_length_c 3.1566
_cell_angle_alpha 90.00
_cell_angle_beta 90.00
_cell_angle_gamma 120.00
_space_group_name_H-M_alt 'P 6/m m m'
_space_group_IT_number 191
_space_group_name_Hall '-P 6 2'
loop_
_atom_site_label
_atom_site_type_symbol
_atom_site_fract_x
_atom_site_fract_y
_atom_site_fract_z
La1 La 0.3333 0.6667 0.0000
Ni1 Ni 0.0000 0.0000 0.5000
# crystal system = hexagonal
# E_form = 0.2498 eV per atom
# theoretical density = 7.88 g/cm3
# total DFT energy (no corrections) = -4.962 eV per atom

# ZnGa3Ag, optimized geometry, DFT PBE
data_ZnGa3Ag
_chemical_formula_sum 'Zn2 Ga6 Ag2'
_cell_length_a 2.883
_cell_length_b 8.637
_cell_length_c 7.596
_cell_angle_alpha 90.00
_cell_angle_beta 100.49
_cell_angle_gamma 90.00
_space_group_name_H-M_alt 'P 1 21/m 1'
_space_group_IT_number 11
_space_group_name_Hall '-P 2yb'
loop_
_atom_site_label
_atom_site_type_symbol
_atom_site_fract_x
_atom_site_fract_y
_atom_site_fract_z
Zn1 Zn 0.248 0.250 0.491
Ga1 Ga 0.069 0.250 0.142
Ga2 Ga 0.161 0.539 0.328
Ag1 Ag 0.500 0.000 0.000
# crystal system = monoclinic
# E_form = 0.0337 eV per atom
# theoretical density = 6.83 g/cm3
# total DFT energy (no corrections) = -2.607 eV per atom
# excess energy over the best structure of this formula in the dataset = 0.0 meV/atom

# CaEr3Rh4, optimized geometry, DFT PBE
data_CaEr3Rh4
_chemical_formula_sum 'Ca3 Er9 Rh12'
_cell_length_a 4.7983
_cell_length_b 4.7983
_cell_length_c 23.5609
_cell_angle_alpha 90.00
_cell_angle_beta 90.00
_cell_angle_gamma 120.00
_space_group_name_H-M_alt 'R -3 m'
_space_group_IT_number 166
_space_group_name_Hall '-R 3 2"'
loop_
_atom_site_label
_atom_site_type_symbol
_atom_site_fract_x
_atom_site_fract_y
_atom_site_fract_z
Ca1 Ca 0.0000 0.0000 0.0000
Er1 Er 0.0000 0.0000 0.2516
Er2 Er 0.0000 0.0000 0.5000
Rh1 Rh 0.0000 0.0000 0.1277
Rh2 Rh 0.0000 0.0000 0.3782
# crystal system = trigonal
# E_form = -0.8104 eV per atom
# theoretical density = 10.11 g/cm3
# total DFT energy (no corrections) = -6.447 eV per atom

# Pm2MnCuGe6, optimized geometry, DFT PBE
data_Pm2MnCuGe6
_chemical_formula_sum 'Pm12 Mn6 Cu6 Ge36'
_cell_length_a 7.3862
_cell_length_b 7.3862
_cell_length_c 27.2116
_cell_angle_alpha 90.00
_cell_angle_beta 90.00
_cell_angle_gamma 120.00
_space_group_name_H-M_alt 'R -3 m'
_space_group_IT_number 166
_space_group_name_Hall '-R 3 2"'
loop_
_atom_site_label
_atom_site_type_symbol
_atom_site_fract_x
_atom_site_fract_y
_atom_site_fract_z
Pm1 Pm 0.0000 0.0000 0.1309
Pm2 Pm 0.0000 0.0000 0.2868
Mn1 Mn 0.0000 0.0000 0.0000
Mn2 Mn 0.0000 0.0000 0.5000
Cu1 Cu 0.0000 0.0000 0.3973
Ge1 Ge 0.0135 0.5068 0.1192
Ge2 Ge 0.0251 0.5126 0.7142
# crystal system = trigonal
# E_form = -0.1304 eV per atom
# theoretical density = 6.54 g/cm3
# total DFT energy (no corrections) = -5.178 eV per atom

# Li2ThGaGe2, optimized geometry, DFT PBE
data_Li2ThGaGe2
_chemical_formula_sum 'Li4 Th2 Ga2 Ge4'
_cell_length_a 4.134
_cell_length_b 8.278
_cell_length_c 7.182
_cell_angle_alpha 90.00
_cell_angle_beta 90.00
_cell_angle_gamma 90.00
_space_group_name_H-M_alt 'P m c 21'
_space_group_IT_number 26
_space_group_name_Hall 'P 2c -2'
loop_
_atom_site_label
_atom_site_type_symbol
_atom_site_fract_x
_atom_site_fract_y
_atom_site_fract_z
Li1 Li 0.000 0.065 0.000
Li2 Li 0.500 0.167 0.325
Th1 Th 0.500 0.427 0.933
Ga1 Ga 0.000 0.292 0.597
Ge1 Ge 0.000 0.354 0.230
Ge2 Ge 0.500 0.130 0.697
# crystal system = orthorhombic
# E_form = -0.4265 eV per atom
# theoretical density = 6.23 g/cm3
# total DFT energy (no corrections) = -4.345 eV per atom

# BaAsRuBr2, optimized geometry, DFT PBE
data_BaAsRuBr2
_chemical_formula_sum 'Ba1 As1 Ru1 Br2'
_cell_length_a 6.074
_cell_length_b 6.074
_cell_length_c 6.435
_cell_angle_alpha 90.00
_cell_angle_beta 90.00
_cell_angle_gamma 90.00
_space_group_name_H-M_alt 'P 4/m m m'
_space_group_IT_number 123
_space_group_name_Hall '-P 4 2'
loop_
_atom_site_label
_atom_site_type_symbol
_atom_site_fract_x
_atom_site_fract_y
_atom_site_fract_z
Ba1 Ba 0.000 0.000 0.000
As1 As 0.000 0.000 0.500
Ru1 Ru 0.500 0.500 0.500
Br1 Br 0.000 0.500 0.000
# crystal system = tetragonal
# theoretical density = 3.31 g/cm3
# raw formation energy = 0.698 eV per atom
# total DFT energy (no corrections) = -3.141 eV per atom
# excess energy over the best structure of this formula in the dataset = 1353.6 meV/atom

# Be2Cu2Au3, optimized geometry, DFT PBE
data_Be2Cu2Au3
_chemical_formula_sum 'Be4 Cu4 Au6'
_cell_length_a 7.093
_cell_length_b 3.909
_cell_length_c 7.449
_cell_angle_alpha 90.00
_cell_angle_beta 106.06
_cell_angle_gamma 90.00
_space_group_name_H-M_alt 'C 1 2/m 1'
_space_group_IT_number 12
_space_group_name_Hall '-C 2y'
loop_
_atom_site_label
_atom_site_type_symbol
_atom_site_fract_x
_atom_site_fract_y
_atom_site_fract_z
Be1 Be 0.062 0.000 0.172
Cu1 Cu 0.131 0.500 0.913
Au1 Au 0.000 0.500 0.500
Au2 Au 0.239 0.000 0.719
# crystal system = monoclinic
# E_form = 0.0072 eV per atom
# theoretical density = 12.32 g/cm3
# total DFT energy (no corrections) = -3.632 eV per atom

# NdIn3Hg6, optimized geometry, DFT PBE
data_NdIn3Hg6
_chemical_formula_sum 'Nd6 In18 Hg36'
_cell_length_a 14.1842
_cell_length_b 14.1842
_cell_length_c 9.2606
_cell_angle_alpha 90.00
_cell_angle_beta 90.00
_cell_angle_gamma 120.00
_space_group_name_H-M_alt 'R -3 c'
_space_group_IT_number 167
_space_group_name_Hall '-R 3 2"c'
loop_
_atom_site_label
_atom_site_type_symbol
_atom_site_fract_x
_atom_site_fract_y
_atom_site_fract_z
Nd1 Nd 0.0000 0.0000 0.0000
In1 In 0.0000 0.1763 0.2500
Hg1 Hg 0.0277 0.2387 0.9220
# crystal system = trigonal
# E_form = -0.1261 eV per atom
# theoretical density = 10.45 g/cm3
# total DFT energy (no corrections) = -1.605 eV per atom

# LiLaHoIn, optimized geometry, DFT PBE
data_LiLaHoIn
_chemical_formula_sum 'Li4 La4 Ho4 In4'
_cell_length_a 7.650
_cell_length_b 7.650
_cell_length_c 7.650
_cell_angle_alpha 90.00
_cell_angle_beta 90.00
_cell_angle_gamma 90.00
_space_group_name_H-M_alt 'F -4 3 m'
_space_group_IT_number 216
_space_group_name_Hall 'F -4 2 3'
loop_
_atom_site_label
_atom_site_type_symbol
_atom_site_fract_x
_atom_site_fract_y
_atom_site_fract_z
Li1 Li 0.000 0.000 0.000
La1 La 0.250 0.250 0.750
Ho1 Ho 0.250 0.250 0.250
In1 In 0.000 0.000 0.500
# crystal system = cubic
# E_form = -0.2571 eV per atom
# theoretical density = 6.31 g/cm3
# total DFT energy (no corrections) = -3.796 eV per atom

# CePm2, optimized geometry, DFT PBE
data_CePm2
_chemical_formula_sum 'Ce2 Pm4'
_cell_length_a 3.567
_cell_length_b 3.567
_cell_length_c 15.191
_cell_angle_alpha 90.00
_cell_angle_beta 90.00
_cell_angle_gamma 90.00
_space_group_name_H-M_alt 'I 4/m m m'
_space_group_IT_number 139
_space_group_name_Hall '-I 4 2'
loop_
_atom_site_label
_atom_site_type_symbol
_atom_site_fract_x
_atom_site_fract_y
_atom_site_fract_z
Ce1 Ce 0.000 0.000 0.000
Pm1 Pm 0.000 0.000 0.341
# crystal system = tetragonal
# E_form = 0.0722 eV per atom
# theoretical density = 7.39 g/cm3
# total DFT energy (no corrections) = -5.073 eV per atom
# excess energy over the best structure of this formula in the dataset = 14.7 meV/atom